(1)
Here is a relaxed Ac2Cu5Rh crystal from the Alexandria database. Energies are from PBE-GGA. Values from VASP.

Values from the calculation:
The density of states at the Fermi level comes out at 7.8 states/eV per cell.

The structure in Quantum ESPRESSO input format:
```
&SYSTEM
  ibrav = 0, nat = 16, ntyp = 3
/
ATOMIC_SPECIES
Ac 227.00 Ac.upf
Cu 63.55 Cu.upf
Rh 102.91 Rh.upf
ATOMIC_POSITIONS crystal
Ac 0.0000 0.0000 0.0000
Ac 0.0000 0.0000 0.5000
Ac 0.1991 0.8009 0.7500
Ac 0.8009 0.1991 0.2500
Cu 0.1798 0.8202 0.1153
Cu 0.1798 0.8202 0.3847
Cu 0.3439 0.6561 0.0105
Cu 0.3439 0.6561 0.4895
Cu 0.3974 0.6026 0.7500
Cu 0.6026 0.3974 0.2500
Cu 0.6561 0.3439 0.5105
Cu 0.6561 0.3439 0.9895
Cu 0.8202 0.1798 0.6153
Cu 0.8202 0.1798 0.8847
Rh 0.4396 0.5604 0.2500
Rh 0.5604 0.4396 0.7500
CELL_PARAMETERS angstrom
2.1480 -8.1418 0.0000
2.1480 8.1418 0.0000
0.0000 0.0000 9.0336
```

=====

(2)
Here is a relaxed BeRe2P crystal from the Alexandria database. Energies are from PBE-GGA. Values from VASP.

Values from the calculation:
For the energy above the most stable polymorph in this dataset, the calculation gives 675 meV per atom. The density of states at the Fermi level comes out at 1.4 states/eV per cell.

The structure in Quantum ESPRESSO input format:
```
&SYSTEM
  ibrav = 0, nat = 4, ntyp = 3
/
ATOMIC_SPECIES
Be 9.01 Be.upf
Re 186.21 Re.upf
P 30.97 P.upf
ATOMIC_POSITIONS crystal
Be 0.0000 0.0000 0.0000
Re 0.0000 0.0000 0.5099
Re 0.5000 0.5000 0.2350
P 0.5000 0.5000 0.7653
CELL_PARAMETERS angstrom
1.4723 -2.2700 0.0000
1.4723 2.2700 0.0000
0.0000 0.0000 8.1054
```

=====

Number 1: total energy -4.7152 eV per atom. Number 2: total energy -8.1073 eV per atom.